CaLaSbO: optimized geometry, PBE.

Values from the calculation:
Uncorrected formation energy in eV per atom: -2.0277
SG: P4/nmm

abc: 4.765 4.765 8.918
angles: 90.00 90.00 90.00
Sites, in units of the cell vectors:
Sb1 0.000 0.500 0.795
Sb2 0.500 0.000 0.205
Ca1 0.500 0.000 0.844
Ca2 0.000 0.500 0.156
La1 0.000 0.000 0.500
La2 0.500 0.500 0.500
O1 0.000 0.500 0.417
O2 0.500 0.000 0.583

---

Tl3In: optimized geometry, PBE.

Values from the calculation:
Energy of formation in eV per atom: 0.0195
SG: Cmmm

abc: 5.947 5.947 3.480
angles: 90.00 90.00 104.30
Sites, in units of the cell vectors:
Tl1 0.500 0.500 0.000
Tl2 0.000 0.500 0.500
Tl3 0.500 0.000 0.500
In1 0.000 0.000 0.000